1.
An optimized crystal structure of ZrNi4As. Source: the Alexandria database, functional PBE.

Summary:
N(E_F): 17.31 states/eV/cell
Formation energy from the elements: -0.286 eV/atom
Spin magnetization: 0.171 μB per atom
Energy: -38.04 eV/f.u.

Lattice parameters (Å, degrees): 6.8430 6.8430 6.8430 90.00 90.00 90.00
Closest atoms and distances in Å follow each position.
Space group F-43m (No. 216)
Symmetry-distinct sites (fractional):
Zr  0.0000  0.0000  0.0000 (multiplicity 4)  12 Ni 2.84, 4 As 2.96
Ni  0.1254  0.1254  0.3746 (multiplicity 16)  6 Ni 2.41-2.43
As  0.2500  0.2500  0.7500 (multiplicity 4)  12 Ni 2.84, 4 Zr 2.96

---

2.
An optimized crystal structure of Zr3Ni3As4. Source: the Alexandria database, functional PBE.

Summary:
Formation energy from the elements: -0.840 eV/atom
Spin magnetization: 0.000 μB per atom
Energy: -69.99 eV/f.u.

Lattice parameters (Å, degrees): 8.6936 8.6936 8.6936 90.00 90.00 90.00
Closest atoms and distances in Å follow each position.
Space group I-43d (No. 220)
Symmetry-distinct sites (fractional):
Zr  0.0000  0.2500  0.3750 (multiplicity 12)  4 Ni 2.66
Ni  0.0000  0.2500  0.8750 (multiplicity 12)  4 As 2.42, 4 Zr 2.66
As  0.0814  0.0814  0.0814 (multiplicity 16)  3 Ni 2.42

---

3.
An optimized crystal structure of Np2As. Source: the Alexandria database, functional PBE.

Summary:
N(E_F): 11.40 states/eV/cell
Polymorph energy (0 for the lowest one): 83.2 meV/atom
Formation energy from the elements: -0.303 eV/atom
Spin magnetization: 0.000 μB per atom
Energy: -31.44 eV/f.u.

Lattice parameters (Å, degrees): 3.4206 3.4206 9.2738 90.00 90.00 90.00
Closest atoms and distances in Å follow each position.
Space group I4/mmm (No. 139)
Symmetry-distinct sites (fractional):
Np  0.0000  0.0000  0.1971 (multiplicity 4)  4 Np 2.61, 1 As 2.81
As  0.0000  0.0000  0.5000 (multiplicity 2)  10 Np 2.81-3.03

---

4.
An optimized crystal structure of Np3As4. Source: the Alexandria database, functional PBE.

Summary:
N(E_F): 86.69 states/eV/cell
Formation energy from the elements: -0.632 eV/atom
Spin magnetization: 1.322 μB per atom
Energy: -61.84 eV/f.u.

Lattice parameters (Å, degrees): 8.4907 8.4907 8.4907 90.00 90.00 90.00
Closest atoms and distances in Å follow each position.
Space group I-43d (No. 220)
Symmetry-distinct sites (fractional):
Np  0.0000  0.2500  0.8750 (multiplicity 12)  8 As 2.90-2.98
As  0.0794  0.4206  0.5794 (multiplicity 16)  6 Np 2.90-2.98, 3 As 3.20